(1)
NbCoSiIr | PBE | optimized geometry

a b c (Å): 4.315 4.315 4.315
angles (deg): 60.00 60.00 60.00
Fractional positions:
1 Co 0.750 0.750 0.750
2 Ir 0.500 0.500 0.500
3 Si 0.000 0.000 0.000
4 Nb 0.250 0.250 0.250

Values from the calculation:
The theoretical density is 10.87 Mg/m³.

(2)
NbCoSiIr | PBE | optimized geometry

a b c (Å): 4.306 4.306 4.306
angles (deg): 60.00 60.00 60.00
Each line ends with the local moment (μB).
Fractional positions:
1 Si 0.000 0.000 0.000  0.02
2 Co 0.750 0.750 0.750  1.18
3 Ir 0.250 0.250 0.250  0.16
4 Nb 0.500 0.500 0.500  0.06

Values from the calculation:
The theoretical density is 10.95 Mg/m³.

Energy ordering: (2) at the bottom, the next structure 0.159 eV/atom above.

(1)
CoSiNiIr | PBE | optimized geometry

a b c (Å): 4.068 4.068 4.068
angles (deg): 60.00 60.00 60.00
Each line ends with the local moment (μB).
Fractional positions:
1 Ni 0.500 0.500 0.500  0.35
2 Ir 0.250 0.250 0.250  0.16
3 Co 0.750 0.750 0.750  0.98
4 Si 0.000 0.000 0.000  -0.02

Values from the calculation:
The theoretical density is 11.79 Mg/m³.

(2)
CoSiNiIr | PBE | optimized geometry

a b c (Å): 4.091 4.091 4.091
angles (deg): 60.00 60.00 60.00
Fractional positions:
1 Ir 0.500 0.500 0.500
2 Ni 0.250 0.250 0.250
3 Si 0.000 0.000 0.000
4 Co 0.750 0.750 0.750

Values from the calculation:
The theoretical density is 11.59 Mg/m³.

Energy ordering: (1) at the bottom, the next structure 0.234 eV/atom above.